Arrangement w

A plane-wave DFT calculation with GGA-PBE was carried out for crystalline CaRuCl2 at its relaxed geometry.

Properties
As for the spin magnetization: 0.292 μB/atom. The density of states at the Fermi level comes out at 0.68 states/eV/atom.

CIF file:
```
data_CaRuCl2
_chemical_formula_sum 'Ca2 Ru2 Cl4'
_symmetry_space_group_name_H-M 'I m m 2'
_symmetry_Int_Tables_number 44
_symmetry_space_group_name_Hall 'I 2 -2'
_cell_length_a 3.3472
_cell_length_b 3.7796
_cell_length_c 14.4566
_cell_angle_alpha 90.00
_cell_angle_beta 90.00
_cell_angle_gamma 90.00
loop_
_atom_site_label
_atom_site_fract_x
_atom_site_fract_y
_atom_site_fract_z
Ca1 0.0000 0.0000 0.0000
Ru1 0.0000 0.5000 0.3323
Cl1 0.0000 0.0000 0.5873
Cl2 0.0000 0.5000 0.8472
```

Arrangement x

A plane-wave DFT calculation with GGA-PBE was carried out for crystalline CaRuCl2 at its relaxed geometry.

Properties
As for the spin magnetization: 0.498 μB/atom.

CIF file:
```
data_CaRuCl2
_chemical_formula_sum 'Ca3 Ru3 Cl6'
_symmetry_space_group_name_H-M 'R -3 m'
_symmetry_Int_Tables_number 166
_symmetry_space_group_name_Hall '-R 3 2"'
_cell_length_a 4.2658
_cell_length_b 4.2658
_cell_length_c 14.9823
_cell_angle_alpha 90.00
_cell_angle_beta 90.00
_cell_angle_gamma 120.00
loop_
_atom_site_label
_atom_site_fract_x
_atom_site_fract_y
_atom_site_fract_z
Ca1 0.0000 0.0000 0.0000
Ru1 0.0000 0.0000 0.5000
Cl1 0.0000 0.0000 0.2385
```

Arrangement y

A plane-wave DFT calculation with GGA-PBE was carried out for crystalline CaRuCl2 at its relaxed geometry.

Properties
As for the spin magnetization: 0.000 μB/atom. The density of states at the Fermi level comes out at 0.29 states/eV/atom.

CIF file:
```
data_CaRuCl2
_chemical_formula_sum 'Ca1 Ru1 Cl2'
_symmetry_space_group_name_H-M 'P 1 m 1'
_symmetry_Int_Tables_number 6
_symmetry_space_group_name_Hall 'P -2y'
_cell_length_a 4.0375
_cell_length_b 4.5067
_cell_length_c 4.7129
_cell_angle_alpha 90.00
_cell_angle_beta 100.77
_cell_angle_gamma 90.00
loop_
_atom_site_label
_atom_site_fract_x
_atom_site_fract_y
_atom_site_fract_z
Ca1 0.0000 0.0000 0.0000
Ru1 0.5087 0.5000 0.6945
Cl1 0.3819 0.0000 0.5918
Cl2 0.6619 0.5000 0.2177
```

Q: What are the energies relative to the best structure? A: arrangement w 49; arrangement x 54; arrangement y 0, in meV per atom.

Arrangement w

A plane-wave DFT calculation with GGA-PBE was carried out for crystalline CaRuCl at its relaxed geometry.

Properties
As for the spin magnetization: 0.915 μB/atom. The density of states at the Fermi level comes out at 2.05 states/eV/atom.

CIF file:
```
data_CaRuCl
_chemical_formula_sum 'Ca4 Ru4 Cl4'
_symmetry_space_group_name_H-M 'F -4 3 m'
_symmetry_Int_Tables_number 216
_symmetry_space_group_name_Hall 'F -4 2 3'
_cell_length_a 6.8698
_cell_length_b 6.8698
_cell_length_c 6.8698
_cell_angle_alpha 90.00
_cell_angle_beta 90.00
_cell_angle_gamma 90.00
loop_
_atom_site_label
_atom_site_fract_x
_atom_site_fract_y
_atom_site_fract_z
Ca1 0.0000 0.0000 0.0000
Ru1 0.2500 0.2500 0.7500
Cl1 0.2500 0.2500 0.2500
```

Arrangement x

A plane-wave DFT calculation with GGA-PBE was carried out for crystalline CaRuCl at its relaxed geometry.

Properties
As for the spin magnetization: 0.639 μB/atom. The density of states at the Fermi level comes out at 0.80 states/eV/atom.

CIF file:
```
data_CaRuCl
_chemical_formula_sum 'Ca1 Ru1 Cl1'
_symmetry_space_group_name_H-M 'P 3 m 1'
_symmetry_Int_Tables_number 156
_symmetry_space_group_name_Hall 'P 3 -2"'
_cell_length_a 3.3935
_cell_length_b 3.3935
_cell_length_c 6.5708
_cell_angle_alpha 90.00
_cell_angle_beta 90.00
_cell_angle_gamma 120.00
loop_
_atom_site_label
_atom_site_fract_x
_atom_site_fract_y
_atom_site_fract_z
Ca1 0.0000 0.0000 0.0000
Ru1 0.3333 0.6667 0.6562
Cl1 0.6667 0.3333 0.2921
```

Q: What are the energies relative to the best structure? A: arrangement w 540; arrangement x 0, in meV per atom.

Arrangement w

A plane-wave DFT calculation with GGA-PBE was carried out for crystalline CaRuCl at its relaxed geometry.

Properties
As for the spin magnetization: 0.000 μB/atom. The density of states at the Fermi level comes out at 0.83 states/eV/atom.

CIF file:
```
data_CaRuCl
_chemical_formula_sum 'Ca1 Ru1 Cl1'
_symmetry_space_group_name_H-M 'P -6 m 2'
_symmetry_Int_Tables_number 187
_symmetry_space_group_name_Hall 'P -6 2'
_cell_length_a 4.2929
_cell_length_b 4.2929
_cell_length_c 3.5347
_cell_angle_alpha 90.00
_cell_angle_beta 90.00
_cell_angle_gamma 120.00
loop_
_atom_site_label
_atom_site_fract_x
_atom_site_fract_y
_atom_site_fract_z
Ca1 0.0000 0.0000 0.0000
Ru1 0.6667 0.3333 0.5000
Cl1 0.3333 0.6667 0.5000
```

Arrangement x

A plane-wave DFT calculation with GGA-PBE was carried out for crystalline CaRuCl at its relaxed geometry.

Properties
As for the spin magnetization: 0.613 μB/atom. The density of states at the Fermi level comes out at 0.72 states/eV/atom.

CIF file:
```
data_CaRuCl
_chemical_formula_sum 'Ca4 Ru4 Cl4'
_symmetry_space_group_name_H-M 'F m m 2'
_symmetry_Int_Tables_number 42
_symmetry_space_group_name_Hall 'F 2 -2'
_cell_length_a 4.4541
_cell_length_b 4.4630
_cell_length_c 13.0612
_cell_angle_alpha 90.00
_cell_angle_beta 90.00
_cell_angle_gamma 90.00
loop_
_atom_site_label
_atom_site_fract_x
_atom_site_fract_y
_atom_site_fract_z
Ca1 0.0000 0.0000 0.0000
Ru1 0.0000 0.0000 0.6677
Cl1 0.0000 0.0000 0.3698
```

Q: What are the energies relative to the best structure? A: arrangement w 0; arrangement x 26, in meV per atom.

Arrangement w

A plane-wave DFT calculation with GGA-PBE was carried out for crystalline CaRu2Cl at its relaxed geometry.

Properties
As for the spin magnetization: 0.000 μB/atom. The density of states at the Fermi level comes out at 1.13 states/eV/atom.

CIF file:
```
data_CaRu2Cl
_chemical_formula_sum 'Ca1 Ru2 Cl1'
_symmetry_space_group_name_H-M 'P 1 2/m 1'
_symmetry_Int_Tables_number 10
_symmetry_space_group_name_Hall '-P 2y'
_cell_length_a 3.2099
_cell_length_b 5.8438
_cell_length_c 4.1846
_cell_angle_alpha 90.00
_cell_angle_beta 92.02
_cell_angle_gamma 90.00
loop_
_atom_site_label
_atom_site_fract_x
_atom_site_fract_y
_atom_site_fract_z
Ca1 0.0000 0.0000 0.0000
Ru1 0.3162 0.5000 0.2416
Cl1 0.5000 0.0000 0.5000
```

Arrangement x

A plane-wave DFT calculation with GGA-PBE was carried out for crystalline CaRu2Cl at its relaxed geometry.

Properties
As for the spin magnetization: 0.000 μB/atom. The density of states at the Fermi level comes out at 0.66 states/eV/atom.

CIF file:
```
data_CaRu2Cl
_chemical_formula_sum 'Ca2 Ru4 Cl2'
_symmetry_space_group_name_H-M 'C 1 m 1'
_symmetry_Int_Tables_number 8
_symmetry_space_group_name_Hall 'C -2y'
_cell_length_a 6.9591
_cell_length_b 3.8404
_cell_length_c 7.0581
_cell_angle_alpha 90.00
_cell_angle_beta 103.11
_cell_angle_gamma 90.00
loop_
_atom_site_label
_atom_site_fract_x
_atom_site_fract_y
_atom_site_fract_z
Ca1 0.0000 0.0000 0.0000
Ru1 0.2412 0.5000 0.3868
Ru2 0.3940 0.0000 0.2953
Cl1 0.2685 0.0000 0.7475
```

Arrangement y

A plane-wave DFT calculation with GGA-PBE was carried out for crystalline CaRu2Cl at its relaxed geometry.

Properties
As for the spin magnetization: 0.000 μB/atom. The density of states at the Fermi level comes out at 0.82 states/eV/atom.

CIF file:
```
data_CaRu2Cl
_chemical_formula_sum 'Ca1 Ru2 Cl1'
_symmetry_space_group_name_H-M 'P 4 m m'
_symmetry_Int_Tables_number 99
_symmetry_space_group_name_Hall 'P 4 -2'
_cell_length_a 3.2560
_cell_length_b 3.2560
_cell_length_c 7.8943
_cell_angle_alpha 90.00
_cell_angle_beta 90.00
_cell_angle_gamma 90.00
loop_
_atom_site_label
_atom_site_fract_x
_atom_site_fract_y
_atom_site_fract_z
Ca1 0.0000 0.0000 0.0000
Ru1 0.0000 0.0000 0.5919
Ru2 0.5000 0.5000 0.7163
Cl1 0.5000 0.5000 0.1984
```

Q: What are the energies relative to the best structure? A: arrangement w 282; arrangement x 66; arrangement y 0, in meV per atom.

Arrangement w

A plane-wave DFT calculation with GGA-PBE was carried out for crystalline CaRu2Cl at its relaxed geometry.

Properties
As for the spin magnetization: 0.000 μB/atom. The density of states at the Fermi level comes out at 0.33 states/eV/atom.

CIF file:
```
data_CaRu2Cl
_chemical_formula_sum 'Ca2 Ru4 Cl2'
_symmetry_space_group_name_H-M 'C 1 m 1'
_symmetry_Int_Tables_number 8
_symmetry_space_group_name_Hall 'C -2y'
_cell_length_a 6.8143
_cell_length_b 3.9510
_cell_length_c 6.8048
_cell_angle_alpha 90.00
_cell_angle_beta 90.39
_cell_angle_gamma 90.00
loop_
_atom_site_label
_atom_site_fract_x
_atom_site_fract_y
_atom_site_fract_z
Ca1 0.0000 0.0000 0.0000
Ru1 0.1677 0.5000 0.2918
Ru2 0.3341 0.0000 0.3879
Cl1 0.3326 0.0000 0.7456
```

Arrangement x

A plane-wave DFT calculation with GGA-PBE was carried out for crystalline CaRu2Cl at its relaxed geometry.

Properties
As for the spin magnetization: 0.001 μB/atom. The density of states at the Fermi level comes out at 1.15 states/eV/atom.

CIF file:
```
data_CaRu2Cl
_chemical_formula_sum 'Ca1 Ru2 Cl1'
_symmetry_space_group_name_H-M 'P m m m'
_symmetry_Int_Tables_number 47
_symmetry_space_group_name_Hall '-P 2 2'
_cell_length_a 2.9322
_cell_length_b 4.9617
_cell_length_c 5.1948
_cell_angle_alpha 90.00
_cell_angle_beta 90.00
_cell_angle_gamma 90.00
loop_
_atom_site_label
_atom_site_fract_x
_atom_site_fract_y
_atom_site_fract_z
Ca1 0.0000 0.0000 0.0000
Ru1 0.5000 0.2572 0.5000
Cl1 0.0000 0.5000 0.0000
```

Q: What are the energies relative to the best structure? A: arrangement w 0; arrangement x 730, in meV per atom.

Arrangement w

A plane-wave DFT calculation with GGA-PBE was carried out for crystalline CaRu2Cl at its relaxed geometry.

Properties
As for the spin magnetization: 0.000 μB/atom. The density of states at the Fermi level comes out at 0.97 states/eV/atom.

CIF file:
```
data_CaRu2Cl
_chemical_formula_sum 'Ca2 Ru4 Cl2'
_symmetry_space_group_name_H-M 'C 1 2/m 1'
_symmetry_Int_Tables_number 12
_symmetry_space_group_name_Hall '-C 2y'
_cell_length_a 12.2943
_cell_length_b 3.5978
_cell_length_c 3.6295
_cell_angle_alpha 90.00
_cell_angle_beta 98.60
_cell_angle_gamma 90.00
loop_
_atom_site_label
_atom_site_fract_x
_atom_site_fract_y
_atom_site_fract_z
Ca1 0.0000 0.0000 0.0000
Ru1 0.2433 0.5000 0.2373
Cl1 0.0000 0.5000 0.5000
```

Arrangement x

A plane-wave DFT calculation with GGA-PBE was carried out for crystalline CaRu2Cl at its relaxed geometry.

Properties
As for the spin magnetization: 0.000 μB/atom. The density of states at the Fermi level comes out at 2.28 states/eV/atom.

CIF file:
```
data_CaRu2Cl
_chemical_formula_sum 'Ca4 Ru8 Cl4'
_symmetry_space_group_name_H-M 'F m -3 m'
_symmetry_Int_Tables_number 225
_symmetry_space_group_name_Hall '-F 4 2 3'
_cell_length_a 6.4695
_cell_length_b 6.4695
_cell_length_c 6.4695
_cell_angle_alpha 90.00
_cell_angle_beta 90.00
_cell_angle_gamma 90.00
loop_
_atom_site_label
_atom_site_fract_x
_atom_site_fract_y
_atom_site_fract_z
Ca1 0.0000 0.0000 0.0000
Ru1 0.2500 0.2500 0.2500
Cl1 0.0000 0.0000 0.5000
```

Q: What are the energies relative to the best structure? A: arrangement w 0; arrangement x 930, in meV per atom.